No. 1
Ac4Ge2Pd5, relaxed, DFT PBE-GGA; space group = No. 10; DOS at the Fermi energy = 5.42 states/eV/cell; volume = 275.3 Å³ per cell
1.0
7.374 0.000 0.000
0.000 4.343 0.000
-0.007 0.000 8.598
Ac Ge Pd
4 2 5
Direct
0.236 0.000 0.377
0.259 0.000 0.881
0.741 0.000 0.119
0.764 0.000 0.623
0.421 0.500 0.631
0.579 0.500 0.369
0.000 0.500 0.000
0.074 0.500 0.663
0.361 0.500 0.133
0.639 0.500 0.867
0.926 0.500 0.337

---

No. 2
AcGe3Pd4, relaxed, DFT PBE-GGA; space group = No. 123; DOS at the Fermi energy = 4.54 states/eV/cell; volume = 154.7 Å³ per cell
1.0
4.383 0.000 0.000
0.000 4.383 0.000
0.000 0.000 8.052
Ac Ge Pd
1 3 4
Direct
0.000 0.000 0.000
0.000 0.000 0.500
0.500 0.500 0.165
0.500 0.500 0.835
0.000 0.500 0.324
0.000 0.500 0.676
0.500 0.000 0.324
0.500 0.000 0.676

---

No. 3
AcGe2Pd4, relaxed, DFT PBE-GGA; distance to the lowest polymorph of the same formula = 51 meV/atom; space group = No. 62; DOS at the Fermi energy = 11.00 states/eV/cell; volume = 540.8 Å³ per cell
1.0
18.277 0.000 0.000
0.000 4.283 0.000
0.000 0.000 6.908
Ac Ge Pd
4 8 16
Direct
0.139 0.250 0.001
0.361 0.750 0.501
0.639 0.250 0.499
0.861 0.750 0.999
0.041 0.750 0.275
0.208 0.250 0.547
0.292 0.750 0.047
0.459 0.250 0.775
0.541 0.750 0.225
0.708 0.250 0.953
0.792 0.750 0.453
0.959 0.250 0.725
0.020 0.750 0.859
0.067 0.250 0.497
0.180 0.750 0.343
0.218 0.750 0.740
0.282 0.250 0.240
0.320 0.250 0.843
0.433 0.750 0.997
0.480 0.250 0.359
0.520 0.750 0.641
0.567 0.250 0.003
0.680 0.750 0.157
0.718 0.750 0.760
0.782 0.250 0.260
0.820 0.250 0.657
0.933 0.750 0.503
0.980 0.250 0.141

---

No. 4
Ac3Ge4Pd2, relaxed, DFT PBE-GGA; distance to the lowest polymorph of the same formula = 89 meV/atom; space group = No. 12; DOS at the Fermi energy = 5.38 states/eV/cell; volume = 223.8 Å³ per cell
1.0
5.844 -2.263 0.000
5.844 2.263 0.000
-3.025 0.000 8.460
Ac Ge Pd
3 4 2
Direct
0.000 0.000 0.000
0.379 0.379 0.318
0.621 0.621 0.682
0.117 0.117 0.407
0.279 0.279 0.935
0.721 0.721 0.065
0.883 0.883 0.593
0.328 0.328 0.677
0.672 0.672 0.323

---

The formation enthalpy at 0 K results, record by record, are as follows: -0.817, -0.646, -0.644, -0.775 eV/atom.
The E_tot results, record by record, are as follows: -0.20252, -0.20167, -0.20278, -0.19663 hartree per atom.